Entry 1:
An optimized crystal structure of ScAsCl2. Source: Alexandria, functional GGA-PBE.

Properties
ΔE_f (raw) (eV per atom): -0.96
Energy relative to the lowest polymorph listed for this composition (eV/atom): 0.198
Magnetization (μB/cell): 0.0
Space group: No. 166

Unit cell a=10.893 b=10.893 c=10.893 alpha=17.57 beta=17.57 gamma=17.57
Positions (direct):
1 Sc 0.500 0.500 0.500
2 As 0.000 0.000 0.000
3 Cl 0.884 0.884 0.884
4 Cl 0.116 0.116 0.116

***

Entry 2:
An optimized crystal structure of Li2Hf2Al5Pd. Source: Alexandria, functional GGA-PBE.

Properties
Uncorrected energy (eV/atom): -5.025
Magnetization (μB/cell): 0.0
Space group: No. 127

Unit cell a=3.223 b=9.983 c=9.983 alpha=90.00 beta=90.00 gamma=90.00
Positions (direct):
1 Li 0.000 0.127 0.627
2 Li 0.000 0.873 0.373
3 Li 0.000 0.627 0.873
4 Li 0.000 0.373 0.127
5 Hf 0.000 0.676 0.176
6 Hf 0.000 0.324 0.824
7 Hf 0.000 0.176 0.324
8 Hf 0.000 0.824 0.676
9 Al 0.500 0.198 0.054
10 Al 0.500 0.802 0.946
11 Al 0.500 0.054 0.802
12 Al 0.500 0.698 0.446
13 Al 0.500 0.946 0.198
14 Al 0.500 0.302 0.554
15 Al 0.500 0.554 0.698
16 Al 0.500 0.446 0.302
17 Al 0.500 0.500 0.000
18 Al 0.500 0.000 0.500
19 Pd 0.000 0.000 0.000
20 Pd 0.000 0.500 0.500

***

Entry 3:
An optimized crystal structure of Sm3Al7Pd2. Source: Alexandria, functional GGA-PBE.

Properties
Uncorrected energy (eV/atom): -4.794
Magnetization (μB/cell): 0.0
Space group: No. 65

Unit cell a=4.185 b=4.322 c=13.922 alpha=98.93 beta=90.00 gamma=90.00
Positions (direct):
1 Sm 0.500 0.500 0.000
2 Sm 0.500 0.677 0.353
3 Sm 0.500 0.323 0.647
4 Al 0.000 0.417 0.834
5 Al 0.000 0.775 0.549
6 Al 0.000 0.000 0.000
7 Al 0.000 0.583 0.166
8 Al 0.500 0.082 0.164
9 Al 0.500 0.918 0.836
10 Al 0.000 0.225 0.451
11 Pd 0.000 0.864 0.728
12 Pd 0.000 0.136 0.272

***

Entry 4:
An optimized crystal structure of CsPr2UTe5. Source: Alexandria, functional GGA-PBE.

Properties
ΔE_f (raw) (eV per atom): -1.08
Magnetization (μB/cell): 2.8
Space group: No. 71

Unit cell a=5.710 b=8.212 c=9.278 alpha=116.27 beta=107.92 gamma=90.00
Positions (direct):
1 Cs 0.000 0.500 0.000
2 Pr 0.202 0.202 0.404
3 Pr 0.798 0.798 0.596
4 U 0.500 0.000 0.000
5 Te 0.653 0.917 0.306
6 Te 0.347 0.083 0.694
7 Te 0.347 0.611 0.694
8 Te 0.653 0.389 0.306
9 Te 0.000 0.000 0.000

***

Entry 5:
An optimized crystal structure of RbTl3C. Source: Alexandria, functional GGA-PBE.

Properties
Energy relative to the lowest polymorph listed for this composition (eV/atom): 1.289
Magnetization (μB/cell): 0.0
Space group: No. 221

Unit cell a=6.409 b=6.409 c=6.409 alpha=90.00 beta=90.00 gamma=90.00
Positions (direct):
1 Tl 0.000 0.500 0.000
2 Tl 0.000 0.000 0.500
3 Tl 0.500 0.000 0.000
4 C 0.500 0.500 0.500
5 Rb 0.000 0.000 0.000

***

Entry 6:
An optimized crystal structure of Li4MgIn2. Source: Alexandria, functional GGA-PBE.

Properties
Energy relative to the lowest polymorph listed for this composition (eV/atom): 0.092
Magnetization (μB/cell): 0.0
Space group: No. 139

Unit cell a=5.742 b=5.742 c=6.966 alpha=127.35 beta=127.35 gamma=61.82
Positions (direct):
1 Li 0.701 0.701 0.000
2 Li 0.299 0.299 0.000
3 Li 0.299 0.299 0.598
4 Li 0.701 0.701 0.402
5 Mg 0.000 0.000 0.000
6 In 0.250 0.750 0.500
7 In 0.750 0.250 0.500

***

Entry 7:
An optimized crystal structure of TeRhSeN2. Source: Alexandria, functional GGA-PBE.

Properties
ΔE_f (raw) (eV per atom): 1.03
Energy relative to the lowest polymorph listed for this composition (eV/atom): 0.000
Magnetization (μB/cell): 0.4
Space group: No. 123

Unit cell a=3.866 b=3.866 c=6.026 alpha=90.00 beta=90.00 gamma=90.00
Positions (direct):
1 Te 0.000 0.000 0.500
2 Rh 0.000 0.000 0.000
3 Se 0.500 0.500 0.500
4 N 0.000 0.500 0.000
5 N 0.500 0.000 0.000

***

Entry 8:
An optimized crystal structure of LaIrRh2. Source: Alexandria, functional GGA-PBE.

Properties
Energy relative to the lowest polymorph listed for this composition (eV/atom): 0.392
Magnetization (μB/cell): 0.0
Space group: No. 47

Unit cell a=2.918 b=3.948 c=6.225 alpha=90.00 beta=90.00 gamma=90.00
Positions (direct):
1 La 0.500 0.500 0.500
2 Ir 0.500 0.500 0.000
3 Rh 0.000 0.000 0.792
4 Rh 0.000 0.000 0.208

***

Entry 9:
An optimized crystal structure of Sr2CuBr. Source: Alexandria, functional GGA-PBE.

Properties
ΔE_f (raw) (eV per atom): -0.68
Energy relative to the lowest polymorph listed for this composition (eV/atom): 0.084
Magnetization (μB/cell): 0.0
Space group: No. 10

Unit cell a=3.887 b=3.987 c=8.655 alpha=85.64 beta=90.00 gamma=90.00
Positions (direct):
1 Br 0.500 0.250 0.250
2 Cu 0.500 0.750 0.750
3 Sr 0.000 0.218 0.960
4 Sr 0.000 0.282 0.540

***

Entry 10:
An optimized crystal structure of PmReAs. Source: Alexandria, functional GGA-PBE.

Properties
Uncorrected energy (eV/atom): -7.263
Magnetization (μB/cell): 0.0
Space group: No. 11

Unit cell a=3.304 b=3.309 c=12.198 alpha=74.30 beta=90.02 gamma=90.00
Positions (direct):
1 Re 0.750 0.584 0.167
2 Re 0.250 0.416 0.833
3 Pm 0.250 0.900 0.350
4 Pm 0.750 0.100 0.650
5 As 0.750 0.827 0.923
6 As 0.250 0.173 0.077

***

Entry 11:
An optimized crystal structure of TlGa2Sn. Source: Alexandria, functional GGA-PBE.

Properties
Energy relative to the lowest polymorph listed for this composition (eV/atom): 0.026
Magnetization (μB/cell): 0.0
Space group: No. 166

Unit cell a=4.609 b=4.609 c=6.284 alpha=68.49 beta=68.49 gamma=60.00
Positions (direct):
1 Tl 0.500 0.500 0.500
2 Sn 0.000 0.000 0.000
3 Ga 0.267 0.267 0.198
4 Ga 0.733 0.733 0.802

***

Entry 12:
An optimized crystal structure of TlIn4Sn. Source: Alexandria, functional GGA-PBE.

Properties
Energy relative to the lowest polymorph listed for this composition (eV/atom): 0.013
Magnetization (μB/cell): 0.0
Space group: No. 12

Unit cell a=4.229 b=6.220 c=7.132 alpha=106.91 beta=90.00 gamma=109.87
Positions (direct):
1 Tl 0.000 0.000 0.500
2 In 0.333 0.666 0.158
3 In 0.667 0.334 0.842
4 In 0.330 0.659 0.674
5 In 0.670 0.341 0.326
6 Sn 0.000 0.000 0.000